1.
PBE Y3Cd, relaxed; formation energy from the elements = 0.005 eV/atom; distance to the lowest polymorph of the same formula = 0.169 eV/atom; energy = -60.9 eV/cell; size of the total moment = 0.00 μB/f.u.
1.0
11.0055 0.0000 0.0000
-5.5028 9.5311 0.0000
0.0000 0.0000 3.3571
Y Cd
9 3
Direct
0.0000 0.5000 0.0000
0.1667 0.3333 0.3333
0.1667 0.8333 0.3333
0.3333 0.1667 0.6667
0.5000 0.0000 0.0000
0.5000 0.5000 0.0000
0.6667 0.8333 0.3333
0.8333 0.1667 0.6667
0.8333 0.6667 0.6667
0.0000 0.0000 0.0000
0.3333 0.6667 0.6667
0.6667 0.3333 0.3333


2.
PBE Y4Cd, relaxed; formation energy from the elements = -0.043 eV/atom; distance to the lowest polymorph of the same formula = 0.006 eV/atom; energy = -54.0 eV/cell; size of the total moment = 0.00 μB/f.u.
1.0
7.7180 0.0000 0.0000
0.0000 7.7180 0.0000
0.0000 0.0000 5.0116
Y Cd
8 2
Direct
0.1106 0.3061 0.0000
0.1939 0.6106 0.5000
0.3061 0.8894 0.0000
0.3894 0.1939 0.5000
0.6106 0.8061 0.5000
0.6939 0.1106 0.0000
0.8061 0.3894 0.5000
0.8894 0.6939 0.0000
0.0000 0.0000 0.5000
0.5000 0.5000 0.0000


3.
PBE Y2Cd17, relaxed; formation energy from the elements = -0.107 eV/atom; energy = -30.5 eV/cell; size of the total moment = 0.00 μB/f.u.
1.0
5.0191 2.8978 4.9930
-5.0191 2.8978 4.9930
0.0000 -5.7956 4.9930
Y Cd
2 17
Direct
0.1712 0.1712 0.1712
0.8288 0.8288 0.8288
0.0000 0.5000 0.5000
0.1389 0.1389 0.6621
0.1389 0.6621 0.1389
0.1976 0.5000 0.8024
0.1976 0.8024 0.5000
0.3379 0.8611 0.8611
0.3983 0.3983 0.3983
0.5000 0.0000 0.5000
0.5000 0.1976 0.8024
0.5000 0.5000 0.0000
0.5000 0.8024 0.1976
0.6017 0.6017 0.6017
0.6621 0.1389 0.1389
0.8024 0.1976 0.5000
0.8024 0.5000 0.1976
0.8611 0.3379 0.8611
0.8611 0.8611 0.3379


4.
PBE YCd22, relaxed; formation energy from the elements = -0.037 eV/atom; energy = -54.9 eV/cell; size of the total moment = 0.00 μB/f.u.
1.0
0.0000 8.0774 8.0774
8.0774 0.0000 8.0774
8.0774 8.0774 0.0000
Y Cd
2 44
Direct
0.1250 0.1250 0.1250
0.8750 0.8750 0.8750
0.0000 0.0000 0.0000
0.0000 0.0000 0.5000
0.0000 0.5000 0.0000
0.0000 0.5000 0.5000
0.0580 0.3184 0.3184
0.0580 0.3184 0.8052
0.0580 0.8052 0.3184
0.1948 0.6816 0.6816
0.1948 0.6816 0.9420
0.1948 0.9420 0.6816
0.2356 0.2356 0.5144
0.2356 0.5144 0.2356
0.2356 0.5144 0.5144
0.3184 0.0580 0.3184
0.3184 0.0580 0.8052
0.3184 0.3184 0.0580
0.3184 0.3184 0.8052
0.3184 0.8052 0.0580
0.3184 0.8052 0.3184
0.4856 0.4856 0.7644
0.4856 0.7644 0.4856
0.4856 0.7644 0.7644
0.5000 0.0000 0.0000
0.5000 0.0000 0.5000
0.5000 0.5000 0.0000
0.5000 0.5000 0.5000
0.5144 0.2356 0.2356
0.5144 0.2356 0.5144
0.5144 0.5144 0.2356
0.6816 0.1948 0.6816
0.6816 0.1948 0.9420
0.6816 0.6816 0.1948
0.6816 0.6816 0.9420
0.6816 0.9420 0.1948
0.6816 0.9420 0.6816
0.7644 0.4856 0.4856
0.7644 0.4856 0.7644
0.7644 0.7644 0.4856
0.8052 0.0580 0.3184
0.8052 0.3184 0.0580
0.8052 0.3184 0.3184
0.9420 0.1948 0.6816
0.9420 0.6816 0.1948
0.9420 0.6816 0.6816


5.
PBE Y3Cd4, relaxed; formation energy from the elements = 0.014 eV/atom; distance to the lowest polymorph of the same formula = 0.211 eV/atom; energy = -23.0 eV/cell; size of the total moment = 0.00 μB/f.u.
1.0
6.5338 0.0000 0.0000
-3.2669 5.6584 0.0000
0.0000 0.0000 5.4866
Y Cd
3 4
Direct
0.0000 0.5000 0.0000
0.5000 0.0000 0.0000
0.5000 0.5000 0.0000
0.0000 0.0000 0.2497
0.0000 0.0000 0.7503
0.3333 0.6667 0.5000
0.6667 0.3333 0.5000


6.
PBE Y6Cd5, relaxed; formation energy from the elements = -0.242 eV/atom; energy = -46.0 eV/cell; size of the total moment = 0.00 μB/f.u.
1.0
2.6054 -7.7958 0.0000
2.6054 7.7958 0.0000
0.0000 0.0000 7.5609
Y Cd
6 5
Direct
0.0000 0.0000 0.2433
0.0000 0.0000 0.7567
0.3388 0.6612 0.2458
0.3388 0.6612 0.7542
0.6612 0.3388 0.2458
0.6612 0.3388 0.7542
0.1686 0.8314 0.5000
0.1723 0.8277 0.0000
0.5000 0.5000 0.5000
0.8277 0.1723 0.0000
0.8314 0.1686 0.5000


7.
PBE Y3Cd, relaxed; formation energy from the elements = 0.000 eV/atom; distance to the lowest polymorph of the same formula = 0.163 eV/atom; energy = -81.2 eV/cell; size of the total moment = 0.00 μB/f.u.
1.0
5.5572 0.0000 0.0000
0.0000 11.9801 0.0000
-2.7644 0.0000 7.4546
Y Cd
12 4
Direct
0.1384 0.1680 0.2750
0.1384 0.8320 0.2750
0.1817 0.5000 0.3622
0.3183 0.0000 0.6378
0.3616 0.3320 0.7250
0.3616 0.6680 0.7250
0.6384 0.3320 0.2750
0.6384 0.6680 0.2750
0.6817 0.0000 0.3622
0.8183 0.5000 0.6378
0.8616 0.1680 0.7250
0.8616 0.8320 0.7250
0.0000 0.3698 0.0000
0.0000 0.6302 0.0000
0.5000 0.1302 0.0000
0.5000 0.8698 0.0000


8.
PBE Y3Cd5, relaxed; formation energy from the elements = -0.104 eV/atom; distance to the lowest polymorph of the same formula = 0.207 eV/atom; energy = -49.6 eV/cell; size of the total moment = 0.00 μB/f.u.
1.0
7.9567 -4.5791 0.0000
7.9567 4.5791 0.0000
0.0000 0.0000 6.0044
Y Cd
6 10
Direct
0.1124 0.4996 0.2500
0.1118 0.8882 0.7500
0.4996 0.1124 0.7500
0.5004 0.8876 0.2500
0.8882 0.1118 0.2500
0.8876 0.5004 0.7500
0.1665 0.1665 0.0000
0.1665 0.1665 0.5000
0.2434 0.5003 0.7500
0.2449 0.7551 0.2500
0.5003 0.2434 0.2500
0.4997 0.7566 0.7500
0.7551 0.2449 0.7500
0.7566 0.4997 0.2500
0.8335 0.8335 0.0000
0.8335 0.8335 0.5000